Entry 1:
DFT (PBE) results for a relaxed structure of TlIr2Rh.

```
4
Lattice="3.3536 0.0000 0.0000 0.0000 3.3536 0.0000 0.0000 0.0000 5.8975" Properties=species:S:1:pos:R:3 pbc="T T T"
Rh 1.6768 1.6768 0.0000
Ir 0.0000 0.0000 1.3296
Ir 0.0000 0.0000 4.5679
Tl 1.6768 1.6768 2.9487
```

Values from the calculation:
Space group   P4/mmm, No. 123
ΔE_f   2.097 eV per formula unit
Size of the total moment   0.00 μB/f.u.
Relative energy among the computed polymorphs   228 meV/atom
Final energy   -6.336 eV per atom



Entry 2:
DFT (PBE) results for a relaxed structure of TlIr2Rh.

```
4
Lattice="-2.0364 2.0364 3.8958 2.0364 -2.0364 3.8958 2.0364 2.0364 -3.8958" Properties=species:S:1:pos:R:3 pbc="T T T"
Rh 0.0000 0.0000 3.8958
Ir 0.0000 0.0000 0.0000
Ir 2.0364 0.0000 1.9479
Tl 0.0000 2.0364 1.9479
```

Values from the calculation:
Space group   I-4m2, No. 119
ΔE_f   1.393 eV per formula unit
Size of the total moment   0.00 μB/f.u.
Relative energy among the computed polymorphs   52 meV/atom
Final energy   -6.512 eV per atom



Entry 3:
DFT (PBE) results for a relaxed structure of Tl2IrRh.

```
4
Lattice="1.5508 5.2153 0.0554 -1.5508 5.2153 0.0554 0.0000 1.3937 4.6303" Properties=species:S:1:pos:R:3 pbc="T T T"
Ir 0.0000 6.1461 2.6604
Rh 0.0000 2.7209 0.8931
Tl 0.0000 10.3840 0.4513
Tl 0.0000 8.9160 3.2175
```

Values from the calculation:
Space group   Cm, No. 8
ΔE_f   1.498 eV per formula unit
Size of the total moment   0.00 μB/f.u.
Relative energy among the computed polymorphs   31 meV/atom
Final energy   -4.862 eV per atom



Entry 4:
DFT (PBE) results for a relaxed structure of TlIrRh.

```
3
Lattice="0.0000 3.1001 3.1001 3.1001 0.0000 3.1001 3.1001 3.1001 0.0000" Properties=species:S:1:pos:R:3 pbc="T T T"
Rh 1.5501 1.5501 1.5501
Ir 3.1001 3.1001 3.1001
Tl 0.0000 0.0000 0.0000
```

Values from the calculation:
Space group   F-43m, No. 216
ΔE_f   1.736 eV per formula unit
Size of the total moment   1.18 μB/f.u.
Relative energy among the computed polymorphs   200 meV/atom
Final energy   -5.614 eV per atom



Entry 5:
DFT (PBE) results for a relaxed structure of Tl2IrRh.

```
4
Lattice="-1.7099 4.0181 1.1143 -0.8882 0.4771 -3.0834 -5.0554 -2.0035 -0.5330" Properties=species:S:1:pos:R:3 pbc="T T T"
Rh -5.3771 0.6632 -1.5293
Tl -5.4779 -1.3557 -3.5171
Tl -2.8165 1.4516 -0.4429
Ir -2.8973 -0.5570 -2.4373
```

Values from the calculation:
Space group   Pm, No. 6
ΔE_f   1.419 eV per formula unit
Size of the total moment   0.00 μB/f.u.
Relative energy among the computed polymorphs   11 meV/atom
Final energy   -4.882 eV per atom



Entry 6:
DFT (PBE) results for a relaxed structure of TlIr2Rh.

```
4
Lattice="0.4729 1.9098 4.4521 -4.2701 1.4654 -1.8196 -1.2786 -2.3210 1.1314" Properties=species:S:1:pos:R:3 pbc="T T T"
Ir 0.2365 0.9549 2.2260
Ir -2.1351 0.7327 -0.9098
Rh -0.6393 -1.1605 0.5657
Tl -2.5379 0.5271 1.8820
```

Values from the calculation:
Space group   Cmmm, No. 65
ΔE_f   1.749 eV per formula unit
Size of the total moment   0.00 μB/f.u.
Relative energy among the computed polymorphs   141 meV/atom
Final energy   -6.423 eV per atom



Entry 7:
DFT (PBE) results for a relaxed structure of TlIr3Rh.

```
5
Lattice="4.7684 0.0000 0.0000 0.0000 4.7684 0.0000 0.0000 0.0000 4.7684" Properties=species:S:1:pos:R:3 pbc="T T T"
Rh 0.0000 0.0000 0.0000
Ir 2.3842 0.0000 0.0000
Ir 0.0000 2.3842 0.0000
Ir 0.0000 0.0000 2.3842
Tl 2.3842 2.3842 2.3842
```

Values from the calculation:
Space group   Pm-3m, No. 221
ΔE_f   8.545 eV per formula unit
Size of the total moment   0.00 μB/f.u.
Relative energy among the computed polymorphs   0 meV/atom
Final energy   -5.551 eV per atom



Entry 8:
DFT (PBE) results for a relaxed structure of Tl2IrRh.

```
4
Lattice="-2.3663 -2.1592 0.3025 1.7934 -2.1815 -1.5422 2.7274 -2.1239 6.1760" Properties=species:S:1:pos:R:3 pbc="T T T"
Tl 0.6887 -0.5363 1.5595
Tl 2.0387 -1.5876 4.6165
Rh 1.0772 -3.2323 2.4681
Ir -0.2865 -2.1703 -0.6199
```

Values from the calculation:
Space group   P4/mmm, No. 123
ΔE_f   1.374 eV per formula unit
Size of the total moment   0.00 μB/f.u.
Relative energy among the computed polymorphs   0 meV/atom
Final energy   -4.893 eV per atom



Entry 9:
DFT (PBE) results for a relaxed structure of TlIrRh4.

```
6
Lattice="0.0000 3.6498 3.6498 3.6498 0.0000 3.6498 3.6498 3.6498 0.0000" Properties=species:S:1:pos:R:3 pbc="T T T"
Ir 0.0000 0.0000 0.0000
Rh 4.5657 4.5657 2.7340
Rh 2.7340 4.5657 4.5657
Rh 4.5657 2.7340 4.5657
Rh 2.7340 2.7340 2.7340
Tl 5.4747 5.4747 5.4747
```

Values from the calculation:
Space group   F-43m, No. 216
ΔE_f   3.042 eV per formula unit
Size of the total moment   1.07 μB/f.u.
Final energy   -6.265 eV per atom



Entry 10:
DFT (PBE) results for a relaxed structure of TlIr2Rh.

```
4
Lattice="4.5690 -0.9554 3.1054 4.6777 2.9562 -0.9010 -5.3990 -0.2686 1.4869" Properties=species:S:1:pos:R:3 pbc="T T T"
Tl 1.9183 -0.1071 2.8524
Ir 0.1541 0.0334 0.0367
Ir 1.9066 1.8344 0.8335
Rh 4.4920 0.9720 1.0709
```

Values from the calculation:
Space group   Imm2, No. 44
ΔE_f   1.940 eV per formula unit
Size of the total moment   0.00 μB/f.u.
Relative energy among the computed polymorphs   189 meV/atom
Final energy   -6.375 eV per atom



Entry 11:
DFT (PBE) results for a relaxed structure of TlIr2Rh.

```
4
Lattice="1.3649 -4.4366 1.4773 1.5130 -4.4164 -1.3911 4.9003 0.6775 0.2578" Properties=species:S:1:pos:R:3 pbc="T T T"
Rh 1.4390 -4.4265 0.0431
Ir 3.2707 -6.5340 0.1228
Ir 4.5075 -1.6415 0.2211
Tl 2.4501 0.3387 0.1289
```

Values from the calculation:
Space group   C2/m, No. 12
ΔE_f   1.310 eV per formula unit
Size of the total moment   0.00 μB/f.u.
Relative energy among the computed polymorphs   32 meV/atom
Final energy   -6.532 eV per atom



Entry 12:
DFT (PBE) results for a relaxed structure of Tl2IrRh.

```
8
Lattice="6.1549 0.0000 0.0000 0.0000 6.1549 0.0000 3.0775 3.0775 6.0913" Properties=species:S:1:pos:R:3 pbc="T T T"
Ir 0.0000 0.0000 0.0000
Ir 6.1549 3.0775 3.0456
Rh 3.0775 6.1549 3.0456
Rh 3.0775 3.0775 0.0000
Tl 7.6937 7.7077 4.5684
Tl 4.6162 4.6021 4.5684
Tl 4.6302 1.5387 1.5228
Tl 1.5247 4.6162 1.5228
```

Values from the calculation:
Space group   I-42d, No. 122
ΔE_f   4.369 eV per formula unit
Size of the total moment   0.00 μB/f.u.
Relative energy among the computed polymorphs   749 meV/atom
Final energy   -4.144 eV per atom